Density functional theory data (PBE-GGA) for a relaxed structure of Y2GeHAu.

Lattice parameters (Å, degrees): 5.6266 3.5165 5.6266 90.00 90.00 90.00
Last column: magnetic moment on the atom in μB.
Fractional positions:
Ge 0.5000 0.5000 0.5000  -0.01
H 0.0000 0.5000 0.0000  0.00
Y 0.5000 0.0000 0.0000  0.11
Y 0.0000 0.0000 0.5000  0.06
Au 0.0000 0.0000 0.0000  0.01

Output
DFT total energy   -5.01 eV/atom
M_tot   0.293 Bohr magnetons per cell
Fermi-level density of states   3.7 states/eV/cell



Density functional theory data (PBE-GGA) for a relaxed structure of ZrGeHAu2.

Lattice parameters (Å, degrees): 4.7665 5.2236 4.7665 90.00 90.00 90.00
Fractional positions:
Ge 0.0000 0.0000 0.0000
Au 0.0000 0.0000 0.5000
Au 0.5000 0.0000 0.0000
H 0.5000 0.5000 0.5000
Zr 0.0000 0.5000 0.0000

Output
DFT total energy   -3.85 eV/atom
M_tot   0.004 Bohr magnetons per cell
Fermi-level density of states   4.0 states/eV/cell



Density functional theory data (PBE-GGA) for a relaxed structure of HfGe2Au2.

Lattice parameters (Å, degrees): 7.4799 7.4799 3.3433 90.00 90.00 90.00
Fractional positions:
Au 0.6518 0.8482 0.5000
Hf 0.0000 0.0000 0.0000
Au 0.1518 0.6518 0.5000
Au 0.3482 0.1518 0.5000
Ge 0.3500 0.8500 0.0000
Hf 0.5000 0.5000 0.0000
Ge 0.8500 0.6500 0.0000
Au 0.8482 0.3482 0.5000
Ge 0.6500 0.1500 0.0000
Ge 0.1500 0.3500 0.0000

Output
M_tot   0.000 Bohr magnetons per cell
Fermi-level density of states   4.0 states/eV/cell
Formation enthalpy at 0 K   -0.076 eV per atom



Density functional theory data (PBE-GGA) for a relaxed structure of HfGe2Au.

Lattice parameters (Å, degrees): 3.0809 3.0809 9.7414 80.90 80.90 60.00
Fractional positions:
Hf 0.5000 0.5000 0.5000
Au 0.0000 0.0000 0.0000
Ge 0.9126 0.9126 0.2622
Ge 0.0874 0.0874 0.7378

Output
M_tot   0.000 Bohr magnetons per cell
Fermi-level density of states   2.5 states/eV/cell
Formation enthalpy at 0 K   -0.104 eV per atom



Density functional theory data (PBE-GGA) for a relaxed structure of Hf3Ge4Au4.

Lattice parameters (Å, degrees): 3.9702 3.9569 13.7042 98.38 81.86 89.97
Fractional positions:
Hf 0.6978 0.3445 0.6843
Au 0.4532 0.0905 0.1853
Hf 0.0364 0.0068 0.0207
Au 0.7900 0.7534 0.5062
Au 0.6216 0.9318 0.8557
Ge 0.2072 0.8357 0.6668
Hf 0.3757 0.6689 0.3408
Au 0.2877 0.2554 0.5100
Ge 0.8828 0.1621 0.3280
Ge 0.1249 0.4290 0.8519
Ge 0.5226 0.5219 0.0503

Output
M_tot   0.000 Bohr magnetons per cell
Fermi-level density of states   5.0 states/eV/cell
Formation enthalpy at 0 K   -0.302 eV per atom



Density functional theory data (PBE-GGA) for a relaxed structure of HfGe2Au.

Lattice parameters (Å, degrees): 8.6173 9.2741 11.4082 90.00 96.22 90.00
Fractional positions:
Ge 0.3279 0.8677 0.1571
Hf 0.8171 0.3031 0.0295
Ge 0.4550 0.9286 0.5905
Ge 0.6720 0.1321 0.8431
Hf 0.1830 0.8032 0.4705
Au 0.6971 0.9557 0.0314
Ge 0.5243 0.2134 0.0746
Au 0.6975 0.5428 0.5314
Ge 0.5449 0.4286 0.9097
Hf 0.2285 0.1612 0.5533
Ge 0.4757 0.7137 0.4253
Ge 0.9992 0.9612 0.6125
Au 0.2642 0.4261 0.7975
Hf 0.0342 0.3396 0.3059
Au 0.7358 0.9262 0.7024
Ge 0.0004 0.5391 0.1123
Au 0.7724 0.1352 0.2368
Ge 0.6213 0.8358 0.2254
Ge 0.4766 0.7841 0.9246
Ge 0.0442 0.4035 0.5939
Au 0.3028 0.4558 0.4685
Ge 0.9997 0.0391 0.3877
Ge 0.3282 0.6320 0.6569
Ge 0.5461 0.0722 0.4072
Hf 0.8162 0.1975 0.5306
Hf 0.9664 0.6612 0.6940
Hf 0.9657 0.8395 0.1941
Au 0.2291 0.8661 0.7616
Hf 0.0335 0.1611 0.8060
Ge 0.5234 0.2843 0.5754
Ge 0.3786 0.3359 0.2746
Ge 0.9557 0.9035 0.9062
Au 0.2637 0.0738 0.2981
Hf 0.7702 0.8388 0.4474
Hf 0.2300 0.3387 0.0525
Au 0.2275 0.6354 0.2632
Au 0.7364 0.5737 0.2019
Ge 0.6720 0.3676 0.3429
Au 0.7707 0.3664 0.7384
Ge 0.3785 0.1641 0.7753
Au 0.3024 0.0426 0.9684
Ge 0.0008 0.4611 0.8874
Hf 0.1838 0.6974 0.9694
Ge 0.6216 0.6642 0.7247
Ge 0.0448 0.0970 0.0939
Ge 0.9554 0.5969 0.4063
Hf 0.7716 0.6611 0.9467
Ge 0.4539 0.5722 0.0929

Output
M_tot   0.000 Bohr magnetons per cell
Fermi-level density of states   24.2 states/eV/cell
Formation enthalpy at 0 K   -0.215 eV per atom



Density functional theory data (PBE-GGA) for a relaxed structure of HfGe2Au.

Lattice parameters (Å, degrees): 4.1574 4.1574 9.7586 77.70 77.70 90.00
Fractional positions:
Hf 0.5000 0.5000 0.0000
Ge 0.8750 0.8804 0.7500
Au 0.0000 0.0000 0.0000
Hf 0.2500 0.7500 0.5000
Au 0.7500 0.2500 0.5000
Ge 0.3750 0.3696 0.7500
Ge 0.1196 0.6250 0.2500
Ge 0.6304 0.1250 0.2500

Output
M_tot   0.000 Bohr magnetons per cell
Fermi-level density of states   5.8 states/eV/cell
Formation enthalpy at 0 K   -0.066 eV per atom



Density functional theory data (PBE-GGA) for a relaxed structure of Hf4GeAu2.

Lattice parameters (Å, degrees): 4.8972 4.8972 7.6467 71.32 71.32 90.00
Fractional positions:
Hf 0.0000 0.5000 0.0000
Hf 0.1922 0.1922 0.6156
Au 0.6151 0.6151 0.7698
Hf 0.8078 0.8078 0.3844
Hf 0.5000 0.0000 0.0000
Au 0.3849 0.3849 0.2302
Ge 0.0000 0.0000 0.0000

Output
M_tot   0.000 Bohr magnetons per cell
Fermi-level density of states   2.2 states/eV/cell
Formation enthalpy at 0 K   0.058 eV per atom